(1)
Li2ZrTc PBE optimized geometry; distance to the lowest polymorph of the same formula = 0.007 eV per atom; calculated formation energy = 0.151 eV/atom; energy = -5.53 eV per atom
1.0
3.3459 0.0000 0.0000
0.0000 3.3459 0.0000
0.0000 0.0000 6.4549
Li Tc Zr
2 1 1
Direct
0.0000 0.0000 0.0326
0.5000 0.5000 0.2637
0.0000 0.0000 0.5026
0.5000 0.5000 0.7011

---

(2)
Ac3SnGe2Rh9 PBE optimized geometry; calculated formation energy = -0.360 eV/atom; energy = -6.48 eV per atom
1.0
6.9494 0.0000 0.0000
-3.4747 6.0183 0.0000
0.0000 0.0000 7.6915
Ac Sn Ge Rh
3 1 2 9
Direct
0.3333 0.6667 0.6789
0.0000 0.0000 0.0000
0.6667 0.3333 0.3211
0.0000 0.0000 0.5000
0.3333 0.6667 0.1521
0.6667 0.3333 0.8479
0.8093 0.1907 0.6382
0.8093 0.6185 0.6382
0.3815 0.1907 0.6382
0.6185 0.8093 0.3618
0.1907 0.3815 0.3618
0.1907 0.8093 0.3618
0.5000 0.0000 0.0000
0.0000 0.5000 0.0000
0.5000 0.5000 0.0000

---

(3)
SmZn3CoNi PBE optimized geometry; calculated formation energy = -0.113 eV/atom; energy = -3.68 eV per atom
1.0
-2.1893 0.8804 4.6257
-2.0592 -5.8080 0.1308
6.2182 1.1274 2.7285
Sm Zn Co Ni
2 6 2 2
Direct
0.7500 0.2799 0.5599
0.2500 0.7201 0.4401
0.2500 0.1454 0.2907
0.0000 0.2978 0.0000
0.5000 0.7022 0.0000
0.5000 0.2978 0.0000
0.0000 0.7022 0.0000
0.7500 0.8546 0.7093
0.2500 0.3532 0.7064
0.7500 0.6468 0.2936
0.2500 0.9340 0.8680
0.7500 0.0660 0.1320

---

(4)
LaTaCd2Re PBE optimized geometry; calculated formation energy = 2.046 eV/atom; energy = -4.17 eV per atom
1.0
-4.0946 -3.2021 0.5299
1.0666 -0.5036 5.1991
-3.0727 4.0991 1.0274
Re La Cd Ta
1 1 2 1
Direct
0.5000 0.5000 0.5000
0.0000 0.5000 0.0000
0.0000 0.0000 0.5000
0.5000 0.0000 0.0000
0.0000 0.0000 0.0000